(1)
Density functional theory data (PBE-GGA) for a geometry-optimized BeRuC2 structure.

```
BeRuC2
1.0
-2.413 -0.625 -3.653
-2.619 -2.796 2.209
-5.108 1.621 0.421
Ru C Be
2 4 2
Direct
0.000 0.000 0.000
0.750 0.250 0.500
0.617 0.125 0.250
0.133 0.625 0.250
0.375 0.383 0.750
0.875 0.867 0.750
0.500 0.500 0.000
0.250 0.750 0.500
```

## Properties
energy: -0.5197 Ry per atom
magnetic moment: 0.00 μB per cell
formation enthalpy at 0 K: 3.2 eV/f.u.

(2)
Density functional theory data (PBE-GGA) for a geometry-optimized LaNdGe structure.

```
LaNdGe
1.0
-3.664 3.311 -1.352
-4.519 -0.059 2.406
-1.275 3.832 3.147
Ge Nd La
1 1 1
Direct
0.250 0.250 0.250
0.000 0.000 0.000
0.500 0.500 0.500
```

## Properties
polymorph energy (0 for the lowest one): 80 meV per atom
energy: -0.3908 Ry per atom
magnetic moment: 0.00 μB per cell
formation enthalpy at 0 K: -1.6 eV/f.u.

(3)
Density functional theory data (PBE-GGA) for a geometry-optimized Cs2ZnCdAs structure.

```
Cs2ZnCdAs
1.0
7.255 0.000 0.000
0.000 7.255 0.000
0.000 0.000 4.808
Cs As Zn Cd
2 1 1 1
Direct
0.000 0.500 0.000
0.500 0.000 0.000
0.000 0.000 0.000
0.000 0.000 0.500
0.500 0.500 0.500
```

## Properties
polymorph energy (0 for the lowest one): 0 meV per atom
energy: -0.1316 Ry per atom
magnetic moment: 0.00 μB per cell
formation enthalpy at 0 K: -0.4 eV/f.u.

(4)
Density functional theory data (PBE-GGA) for a geometry-optimized Tb3Cd2Au2 structure.

```
Tb3Cd2Au2
1.0
4.054 0.000 0.538
0.000 3.694 0.000
0.505 0.000 11.740
Tb Cd Au
3 2 2
Direct
0.839 0.000 0.323
0.000 0.000 0.000
0.161 0.000 0.677
0.577 0.500 0.846
0.423 0.500 0.154
0.709 0.500 0.582
0.291 0.500 0.418
```

## Properties
energy: -0.2753 Ry per atom
magnetic moment: 0.00 μB per cell
formation enthalpy at 0 K: -3.9 eV/f.u.

(5)
Density functional theory data (PBE-GGA) for a geometry-optimized Na2PdAuO4 structure.

```
Na2PdAuO4
1.0
6.864 0.000 0.000
3.432 4.115 0.000
3.432 0.000 4.115
Na Pd Au O
2 1 1 4
Direct
0.000 0.500 0.500
0.500 0.500 0.500
0.000 0.000 0.000
0.500 0.000 0.000
0.839 0.481 0.000
0.161 0.000 0.519
0.680 0.000 0.481
0.320 0.519 0.000
```

## Properties
energy: -0.3122 Ry per atom
magnetic moment: 1.12 μB per cell
raw formation energy: -0.38 eV/atom

(6)
Density functional theory data (PBE-GGA) for a geometry-optimized CuSiTe2 structure.

```
CuSiTe2
1.0
-2.217 1.780 -1.311
0.241 -1.649 -2.650
-6.674 -6.007 3.130
Cu Si Te
1 1 2
Direct
0.000 0.000 0.555
0.500 0.500 0.681
0.000 0.000 0.934
0.500 0.500 0.330
```

## Properties
energy: -0.2665 Ry per atom
magnetic moment: 0.00 μB per cell
raw formation energy: 0.32 eV/atom

(7)
Density functional theory data (PBE-GGA) for a geometry-optimized Ce3Pa3TcN8 structure.

```
Ce3Pa3TcN8
1.0
-0.207 6.409 2.435
-4.387 -4.710 2.365
6.696 -0.413 1.656
Ce Pa Tc N
3 3 1 8
Direct
0.000 0.000 0.000
0.000 0.500 0.000
0.500 0.500 0.000
0.500 0.000 0.500
0.500 0.500 0.500
0.000 0.500 0.500
0.000 0.000 0.500
0.256 0.513 0.269
0.744 0.487 0.731
0.768 0.536 0.284
0.232 0.464 0.716
0.768 0.016 0.284
0.232 0.984 0.716
0.248 0.016 0.284
0.752 0.984 0.716
```

## Properties
energy: -0.6976 Ry per atom
magnetic moment: 0.00 μB per cell
raw formation energy: -1.27 eV/atom